<i>
Material: Mg2SiSe
Method: DFT, PBE-GGA
State: optimized geometry

The structure in CIF format:
```
data_Mg2SiSe
_chemical_formula_sum 'Mg8 Si4 Se4'
_cell_length_a 6.8460
_cell_length_b 6.8460
_cell_length_c 6.8460
_cell_angle_alpha 90.00
_cell_angle_beta 90.00
_cell_angle_gamma 90.00
_space_group_name_H-M_alt 'F -4 3 m'
_space_group_IT_number 216
_space_group_name_Hall 'F -4 2 3'
loop_
_atom_site_label
_atom_site_fract_x
_atom_site_fract_y
_atom_site_fract_z
Mg1 0.0000 0.0000 0.0000
Mg2 0.2500 0.2500 0.2500
Si1 0.2500 0.2500 0.7500
Se1 0.0000 0.0000 0.5000
```

Calculated values
The theoretical density is 3.222 g/cm³. The total magnetic moment is 0.00 μB/f.u.

<ii>
Material: Mg2SiSe
Method: DFT, PBE-GGA
State: optimized geometry

The structure in CIF format:
```
data_Mg2SiSe
_chemical_formula_sum 'Mg4 Si2 Se2'
_cell_length_a 4.5006
_cell_length_b 4.5006
_cell_length_c 7.6861
_cell_angle_alpha 90.00
_cell_angle_beta 90.00
_cell_angle_gamma 90.00
_space_group_name_H-M_alt 'I 4/m m m'
_space_group_IT_number 139
_space_group_name_Hall '-I 4 2'
loop_
_atom_site_label
_atom_site_fract_x
_atom_site_fract_y
_atom_site_fract_z
Mg1 0.0000 0.5000 0.2500
Si1 0.0000 0.0000 0.0000
Se1 0.0000 0.0000 0.5000
```

Calculated values
The theoretical density is 3.320 g/cm³. The total magnetic moment is 0.00 μB/f.u.

<iii>
Material: Mg2SiSe
Method: DFT, PBE-GGA
State: optimized geometry

The structure in CIF format:
```
data_Mg2SiSe
_chemical_formula_sum 'Mg6 Si3 Se3'
_cell_length_a 3.5271
_cell_length_b 3.5271
_cell_length_c 23.9552
_cell_angle_alpha 90.00
_cell_angle_beta 90.00
_cell_angle_gamma 120.00
_space_group_name_H-M_alt 'R 3 m'
_space_group_IT_number 160
_space_group_name_Hall 'R 3 -2"'
loop_
_atom_site_label
_atom_site_fract_x
_atom_site_fract_y
_atom_site_fract_z
Mg1 0.0000 0.0000 0.0000
Mg2 0.0000 0.0000 0.2334
Si1 0.0000 0.0000 0.7511
Se1 0.0000 0.0000 0.4855
```

Calculated values
The theoretical density is 3.004 g/cm³. The total magnetic moment is 0.00 μB/f.u.

<iv>
Material: Mg2SiSe
Method: DFT, PBE-GGA
State: optimized geometry

The structure in CIF format:
```
data_Mg2SiSe
_chemical_formula_sum 'Mg2 Si1 Se1'
_cell_length_a 3.2951
_cell_length_b 3.2951
_cell_length_c 7.1864
_cell_angle_alpha 90.00
_cell_angle_beta 90.00
_cell_angle_gamma 90.00
_space_group_name_H-M_alt 'P 4/m m m'
_space_group_IT_number 123
_space_group_name_Hall '-P 4 2'
loop_
_atom_site_label
_atom_site_fract_x
_atom_site_fract_y
_atom_site_fract_z
Mg1 0.0000 0.0000 0.2421
Si1 0.5000 0.5000 0.5000
Se1 0.5000 0.5000 0.0000
```

Calculated values
The theoretical density is 3.313 g/cm³. The total magnetic moment is 0.00 μB/f.u.

Relative energy table, unit eV/atom: <i> 0.411; <ii> 0.125; <iii> 0.210; <iv> 0.000